No. 1
Entry from Alexandria via LeMat-Bulk: an optimized crystal structure of Te2MoCl (PBE-GGA).

Values from the calculation:
total moment = 0.89 μB/atom
Fermi-level density of states = 3.03 states/eV/cell
symmetry = Pmmm (47)
total energy = -4.083 eV per atom
raw formation energy = 0.657 eV per atom
offset from the most stable computed form = 0.823 eV/atom

The structure in extended XYZ format:
```
4
Lattice="4.291 0.000 0.000 0.000 4.318 0.000 0.000 0.000 5.420" Properties=species:S:1:pos:R:3 pbc="T T T"
Cl 2.146 0.000 2.710
Mo 0.000 2.159 2.710
Te 0.000 0.000 0.000
Te 2.146 2.159 0.000
```

No. 2
Entry from Alexandria via LeMat-Bulk: an optimized crystal structure of K2BaFe (PBE-GGA).

Values from the calculation:
total moment = 0.67 μB/atom
Fermi-level density of states = 3.68 states/eV/cell
symmetry = Pmmm (47)
total energy = -2.303 eV per atom
offset from the most stable computed form = 0.243 eV/atom

The structure in extended XYZ format:
```
4
Lattice="4.341 0.000 0.000 0.000 5.765 0.000 0.000 0.000 7.519" Properties=species:S:1:pos:R:3 pbc="T T T"
Ba 2.171 2.882 1.880
Fe 2.171 2.882 5.639
K 0.000 0.000 7.257
K 0.000 0.000 4.021
```

Q: Which of these has the highest total energy?
A: K2BaFe

What did the second record say?
Entry from Alexandria via LeMat-Bulk: an optimized crystal structure of K2BaFe (PBE-GGA).

Values from the calculation:
total moment = 0.67 μB/atom
Fermi-level density of states = 3.68 states/eV/cell
symmetry = Pmmm (47)
total energy = -2.303 eV per atom
offset from the most stable computed form = 0.243 eV/atom

The structure in extended XYZ format:
```
4
Lattice="4.341 0.000 0.000 0.000 5.765 0.000 0.000 0.000 7.519" Properties=species:S:1:pos:R:3 pbc="T T T"
Ba 2.171 2.882 1.880
Fe 2.171 2.882 5.639
K 0.000 0.000 7.257
K 0.000 0.000 4.021
```